Here is a geometry-optimized ErCo2BP structure from OQMD. Energies are from PBE.

extended XYZ file:
```
5
Lattice="0.429 4.548 2.692 -4.037 3.422 0.334 0.972 -5.174 0.629" Properties=species:S:1:pos:R:3 pbc="T T T"
Er -0.018 0.039 0.015
Co -0.172 1.616 2.393
Co -2.405 1.053 1.214
B -2.281 5.039 1.913
P -1.366 3.017 1.146
```

Values from the calculation:
total magnetic moment = 0.01 μB per atom
VASP energy = -6.983 eV/atom

Here is a geometry-optimized ErTm2Co2B2P3 structure from OQMD. Energies are from PBE.

extended XYZ file:
```
10
Lattice="7.665 6.777 -4.582 4.050 10.164 -2.441 -4.478 -8.463 5.830" Properties=species:S:1:pos:R:3 pbc="T T T"
P 10.261 14.840 -6.152
P 5.857 8.471 -3.511
P 1.453 2.101 -0.871
B 9.203 13.309 -5.517
B 2.512 3.632 -1.506
Co 2.715 5.086 -0.061
Co 4.522 3.392 -1.131
Tm 7.471 10.804 -4.479
Tm 4.244 6.137 -2.544
Er 0.000 0.000 0.000
```

Values from the calculation:
total magnetic moment = 0.00 μB per atom
VASP energy = -6.619 eV/atom

Here is a geometry-optimized YErCo2B2P2 structure from OQMD. Energies are from PBE.

extended XYZ file:
```
8
Lattice="-1.025 3.441 -1.168 -3.182 -1.436 -1.437 -3.786 1.282 7.100" Properties=species:S:1:pos:R:3 pbc="T T T"
Er -0.798 0.270 1.497
Co -2.402 2.360 2.959
Co -3.480 -0.078 2.824
B -3.603 1.510 1.509
B -2.284 0.774 4.282
Y -5.098 2.016 4.312
P -3.219 1.090 6.036
P -2.674 1.195 -0.232
```

Values from the calculation:
total magnetic moment = 0.00 μB per atom
VASP energy = -6.923 eV/atom